[1]
# La2Mg3

Crystalline La2Mg3 at its relaxed geometry (PBE-GGA, Alexandria).

Geometry as CIF:
```
data_La2Mg3
_cell_length_a 5.4769
_cell_length_b 5.4769
_cell_length_c 6.8292
_cell_angle_alpha 90.00
_cell_angle_beta 90.00
_cell_angle_gamma 120.00
_symmetry_space_group_name_H-M 'P -3 m 1'
_symmetry_Int_Tables_number 164
_symmetry_space_group_name_Hall '-P 3 2"'
loop_
_atom_site_label
_atom_site_type_symbol
_atom_site_fract_x
_atom_site_fract_y
_atom_site_fract_z
_atom_site_occupancy
La1 La 0.3333 0.6667 0.3381 1
Mg1 Mg 0.0000 0.0000 0.5000 1
Mg2 Mg 0.3333 0.6667 0.8421 1
```

## Properties
raw total energy	-2.702	eV/atom
calculated density	3.28	Mg/m³
ΔE_f	1.1	eV per formula unit

---

[2]
# NpZnGa

Crystalline NpZnGa at its relaxed geometry (PBE-GGA, Alexandria).

Geometry as CIF:
```
data_NpZnGa
_cell_length_a 2.6417
_cell_length_b 2.6417
_cell_length_c 14.1336
_cell_angle_alpha 90.00
_cell_angle_beta 90.00
_cell_angle_gamma 90.00
_symmetry_space_group_name_H-M 'I 4 m m'
_symmetry_Int_Tables_number 107
_symmetry_space_group_name_Hall 'I 4 -2'
loop_
_atom_site_label
_atom_site_type_symbol
_atom_site_fract_x
_atom_site_fract_y
_atom_site_fract_z
_atom_site_occupancy
Np1 Np 0.0000 0.0000 0.0000 1
Zn1 Zn 0.0000 0.0000 0.3263 1
Ga1 Ga 0.0000 0.0000 0.6713 1
```

## Properties
raw total energy	-5.662	eV/atom
calculated density	12.53	Mg/m³
ΔE_f	0.3	eV per formula unit

---

[3]
# Ac6NiSn3

Crystalline Ac6NiSn3 at its relaxed geometry (PBE-GGA, Alexandria).

Geometry as CIF:
```
data_Ac6NiSn3
_cell_length_a 12.6985
_cell_length_b 15.9726
_cell_length_c 7.9302
_cell_angle_alpha 90.00
_cell_angle_beta 90.00
_cell_angle_gamma 90.00
_symmetry_space_group_name_H-M 'C m c 21'
_symmetry_Int_Tables_number 36
loop_
_symmetry_equiv_pos_as_xyz
'x,y,z'
'-x,-y,z+1/2'
'-x,y,z'
'x,-y,z+1/2'
'x+1/2,y+1/2,z'
'-x+1/2,-y+1/2,z+1/2'
'-x+1/2,y+1/2,z'
'x+1/2,-y+1/2,z+1/2'
loop_
_atom_site_label
_atom_site_type_symbol
_atom_site_fract_x
_atom_site_fract_y
_atom_site_fract_z
_atom_site_occupancy
Ac1 Ac 0.0000 0.0035 0.0000 1
Ac2 Ac 0.0000 0.2360 0.5733 1
Ac3 Ac 0.1531 0.2486 0.0903 1
Ac4 Ac 0.1629 0.4698 0.5717 1
Ni1 Ni 0.0000 0.1399 0.2576 1
Sn1 Sn 0.0000 0.3878 0.8757 1
Sn2 Sn 0.1813 0.1121 0.7655 1
```

## Properties
raw total energy	-4.578	eV/atom
calculated density	7.34	Mg/m³
ΔE_f	-3.3	eV per formula unit

---

[4]
# PmAs2RuO8

Crystalline PmAs2RuO8 at its relaxed geometry (PBE-GGA, Alexandria).

Geometry as CIF:
```
data_PmAs2RuO8
_cell_length_a 5.4691
_cell_length_b 5.4691
_cell_length_c 6.7596
_cell_angle_alpha 90.00
_cell_angle_beta 90.00
_cell_angle_gamma 120.00
_symmetry_space_group_name_H-M 'P -3 m 1'
_symmetry_Int_Tables_number 164
_symmetry_space_group_name_Hall '-P 3 2"'
loop_
_atom_site_label
_atom_site_type_symbol
_atom_site_fract_x
_atom_site_fract_y
_atom_site_fract_z
_atom_site_occupancy
Pm1 Pm 0.0000 0.0000 0.0000 1
As1 As 0.3333 0.6667 0.2278 1
Ru1 Ru 0.0000 0.0000 0.5000 1
O1 O 0.1568 0.3136 0.2927 1
O2 O 0.3333 0.6667 0.9777 1
```

## Properties
raw total energy	-6.727	eV/atom
calculated density	4.97	Mg/m³
formation energy without anion corrections	-1478	meV per atom

---

[5]
# KRbBe2

Crystalline KRbBe2 at its relaxed geometry (PBE-GGA, Alexandria).

Geometry as CIF:
```
data_KRbBe2
_cell_length_a 4.3155
_cell_length_b 7.5163
_cell_length_c 10.5416
_cell_angle_alpha 110.49
_cell_angle_beta 93.46
_cell_angle_gamma 92.92
_symmetry_space_group_name_H-M 'P -1'
_symmetry_Int_Tables_number 2
loop_
_symmetry_equiv_pos_as_xyz
'x,y,z'
'-x,-y,-z'
loop_
_atom_site_label
_atom_site_type_symbol
_atom_site_fract_x
_atom_site_fract_y
_atom_site_fract_z
_atom_site_occupancy
K1 K 0.2183 0.4162 0.3311 1
Rb1 Rb 0.2979 0.1614 0.8254 1
Be1 Be 0.1135 0.8776 0.4972 1
Be2 Be 0.3856 0.1198 0.4977 1
```

## Properties
raw total energy	-1.912	eV/atom
calculated density	1.49	Mg/m³
ΔE_f	1.9	eV per formula unit

---

[6]
# SrSnPb

Crystalline SrSnPb at its relaxed geometry (PBE-GGA, Alexandria).

Geometry as CIF:
```
data_SrSnPb
_cell_length_a 5.5407
_cell_length_b 5.5407
_cell_length_c 3.7019
_cell_angle_alpha 90.00
_cell_angle_beta 90.00
_cell_angle_gamma 120.00
_symmetry_space_group_name_H-M 'P -6 m 2'
_symmetry_Int_Tables_number 187
_symmetry_space_group_name_Hall 'P -6 2'
loop_
_atom_site_label
_atom_site_type_symbol
_atom_site_fract_x
_atom_site_fract_y
_atom_site_fract_z
_atom_site_occupancy
Sr1 Sr 0.0000 0.0000 0.0000 1
Sn1 Sn 0.3333 0.6667 0.5000 1
Pb1 Pb 0.6667 0.3333 0.5000 1
```

## Properties
raw total energy	-3.527	eV/atom
calculated density	6.98	Mg/m³
ΔE_f	-1.2	eV per formula unit

---

[7]
# LiPmNd

Crystalline LiPmNd at its relaxed geometry (PBE-GGA, Alexandria).

Geometry as CIF:
```
data_LiPmNd
_cell_length_a 3.5745
_cell_length_b 3.5745
_cell_length_c 8.4832
_cell_angle_alpha 90.00
_cell_angle_beta 90.00
_cell_angle_gamma 120.00
_symmetry_space_group_name_H-M 'P 3 m 1'
_symmetry_Int_Tables_number 156
loop_
_symmetry_equiv_pos_as_xyz
'x,y,z'
'-y,x-y,z'
'-x+y,-x,z'
'-y,-x,z'
'-x+y,y,z'
'x,x-y,z'
loop_
_atom_site_label
_atom_site_type_symbol
_atom_site_fract_x
_atom_site_fract_y
_atom_site_fract_z
_atom_site_occupancy
Li1 Li 0.0000 0.0000 0.0000 1
Pm1 Pm 0.6667 0.3333 0.3262 1
Nd1 Nd 0.3333 0.6667 0.6718 1
```

## Properties
raw total energy	-3.713	eV/atom
calculated density	5.24	Mg/m³
ΔE_f	0.3	eV per formula unit

---

[8]
# MnAlPS2

Crystalline MnAlPS2 at its relaxed geometry (PBE-GGA, Alexandria).

Geometry as CIF:
```
data_MnAlPS2
_cell_length_a 4.5714
_cell_length_b 4.5714
_cell_length_c 4.4527
_cell_angle_alpha 90.00
_cell_angle_beta 90.00
_cell_angle_gamma 90.00
_symmetry_space_group_name_H-M 'P 4/m m m'
_symmetry_Int_Tables_number 123
_symmetry_space_group_name_Hall '-P 4 2'
loop_
_atom_site_label
_atom_site_type_symbol
_atom_site_fract_x
_atom_site_fract_y
_atom_site_fract_z
_atom_site_occupancy
Mn1 Mn 0.0000 0.0000 0.0000 1
Al1 Al 0.5000 0.5000 0.5000 1
P1 P 0.0000 0.0000 0.5000 1
S1 S 0.0000 0.5000 0.0000 1
```

## Properties
raw total energy	-5.040	eV/atom
calculated density	3.16	Mg/m³
formation energy without anion corrections	276	meV per atom

---

[9]
# CsTa3H

Crystalline CsTa3H at its relaxed geometry (PBE-GGA, Alexandria).

Geometry as CIF:
```
data_CsTa3H
_cell_length_a 5.0679
_cell_length_b 5.0679
_cell_length_c 5.0679
_cell_angle_alpha 90.00
_cell_angle_beta 90.00
_cell_angle_gamma 90.00
_symmetry_space_group_name_H-M 'P m -3 m'
_symmetry_Int_Tables_number 221
_symmetry_space_group_name_Hall '-P 4 2 3'
loop_
_atom_site_label
_atom_site_type_symbol
_atom_site_fract_x
_atom_site_fract_y
_atom_site_fract_z
_atom_site_occupancy
Cs1 Cs 0.0000 0.0000 0.0000 1
Ta1 Ta 0.0000 0.0000 0.5000 1
H1 H 0.5000 0.5000 0.5000 1
```

## Properties
raw total energy	-4.057	eV/atom
calculated density	8.63	Mg/m³

---

[10]
# KGa2GeOs

Crystalline KGa2GeOs at its relaxed geometry (PBE-GGA, Alexandria).

Geometry as CIF:
```
data_KGa2GeOs
_cell_length_a 4.8949
_cell_length_b 4.8949
_cell_length_c 4.8690
_cell_angle_alpha 90.00
_cell_angle_beta 90.00
_cell_angle_gamma 90.00
_symmetry_space_group_name_H-M 'P 4/m m m'
_symmetry_Int_Tables_number 123
_symmetry_space_group_name_Hall '-P 4 2'
loop_
_atom_site_label
_atom_site_type_symbol
_atom_site_fract_x
_atom_site_fract_y
_atom_site_fract_z
_atom_site_occupancy
K1 K 0.0000 0.0000 0.0000 1
Ga1 Ga 0.0000 0.5000 0.5000 1
Ge1 Ge 0.5000 0.5000 0.0000 1
Os1 Os 0.5000 0.5000 0.5000 1
```

## Properties
raw total energy	-4.649	eV/atom
calculated density	6.28	Mg/m³
ΔE_f	-0.2	eV per formula unit

---

[11]
# GdGeAu2

Crystalline GdGeAu2 at its relaxed geometry (PBE-GGA, Alexandria).

Geometry as CIF:
```
data_GdGeAu2
_cell_length_a 3.7558
_cell_length_b 3.7558
_cell_length_c 6.1034
_cell_angle_alpha 90.00
_cell_angle_beta 90.00
_cell_angle_gamma 90.00
_symmetry_space_group_name_H-M 'P 4/m m m'
_symmetry_Int_Tables_number 123
_symmetry_space_group_name_Hall '-P 4 2'
loop_
_atom_site_label
_atom_site_type_symbol
_atom_site_fract_x
_atom_site_fract_y
_atom_site_fract_z
_atom_site_occupancy
Gd1 Gd 0.0000 0.0000 0.0000 1
Ge1 Ge 0.0000 0.0000 0.5000 1
Au1 Au 0.5000 0.5000 0.2545 1
```

## Properties
raw total energy	-6.793	eV/atom
calculated density	12.03	Mg/m³
ΔE_f	-1.9	eV per formula unit

---

[12]
# CaCr2Se

Crystalline CaCr2Se at its relaxed geometry (PBE-GGA, Alexandria).

Geometry as CIF:
```
data_CaCr2Se
_cell_length_a 3.5184
_cell_length_b 3.5184
_cell_length_c 6.5505
_cell_angle_alpha 90.00
_cell_angle_beta 90.00
_cell_angle_gamma 90.00
_symmetry_space_group_name_H-M 'P 4 m m'
_symmetry_Int_Tables_number 99
loop_
_symmetry_equiv_pos_as_xyz
'x,y,z'
'-y,x,z'
'-x,-y,z'
'y,-x,z'
'-x,y,z'
'y,x,z'
'x,-y,z'
'-y,-x,z'
loop_
_atom_site_label
_atom_site_type_symbol
_atom_site_fract_x
_atom_site_fract_y
_atom_site_fract_z
_atom_site_occupancy
Ca1 Ca 0.0000 0.0000 0.0000 1
Cr1 Cr 0.0000 0.0000 0.4879 1
Cr2 Cr 0.5000 0.5000 0.3523 1
Se1 Se 0.5000 0.5000 0.7497 1
```

## Properties
raw total energy	-6.294	eV/atom
calculated density	4.57	Mg/m³
formation energy without anion corrections	-110	meV per atom

---

[13]
# Cd2OsRu

Crystalline Cd2OsRu at its relaxed geometry (PBE-GGA, Alexandria).

Geometry as CIF:
```
data_Cd2OsRu
_cell_length_a 6.4793
_cell_length_b 6.4793
_cell_length_c 6.4793
_cell_angle_alpha 90.00
_cell_angle_beta 90.00
_cell_angle_gamma 90.00
_symmetry_space_group_name_H-M 'F m -3 m'
_symmetry_Int_Tables_number 225
_symmetry_space_group_name_Hall '-F 4 2 3'
loop_
_atom_site_label
_atom_site_type_symbol
_atom_site_fract_x
_atom_site_fract_y
_atom_site_fract_z
_atom_site_occupancy
Cd1 Cd 0.2500 0.2500 0.2500 1
Os1 Os 0.0000 0.0000 0.0000 1
Ru1 Ru 0.0000 0.0000 0.5000 1
```

## Properties
raw total energy	-4.792	eV/atom
calculated density	12.60	Mg/m³
ΔE_f	3.2	eV per formula unit

---

[14]
# LaHW3

Crystalline LaHW3 at its relaxed geometry (PBE-GGA, Alexandria).

Geometry as CIF:
```
data_LaHW3
_cell_length_a 4.8707
_cell_length_b 4.8707
_cell_length_c 4.8707
_cell_angle_alpha 90.00
_cell_angle_beta 90.00
_cell_angle_gamma 90.00
_symmetry_space_group_name_H-M 'P m -3 m'
_symmetry_Int_Tables_number 221
_symmetry_space_group_name_Hall '-P 4 2 3'
loop_
_atom_site_label
_atom_site_type_symbol
_atom_site_fract_x
_atom_site_fract_y
_atom_site_fract_z
_atom_site_occupancy
La1 La 0.0000 0.0000 0.0000 1
H1 H 0.5000 0.5000 0.5000 1
W1 W 0.0000 0.0000 0.5000 1
```

## Properties
raw total energy	-5.756	eV/atom
calculated density	9.94	Mg/m³

---

[15]
# InCuSe2

Crystalline InCuSe2 at its relaxed geometry (PBE-GGA, Alexandria).

Geometry as CIF:
```
data_InCuSe2
_cell_length_a 5.6717
_cell_length_b 7.9128
_cell_length_c 4.3756
_cell_angle_alpha 90.00
_cell_angle_beta 117.59
_cell_angle_gamma 90.00
_symmetry_space_group_name_H-M 'C 1 2/m 1'
_symmetry_Int_Tables_number 12
loop_
_symmetry_equiv_pos_as_xyz
'x,y,z'
'-x,-y,-z'
'-x,y,-z'
'x,-y,z'
'x+1/2,y+1/2,z'
'-x+1/2,-y+1/2,-z'
'-x+1/2,y+1/2,-z'
'x+1/2,-y+1/2,z'
loop_
_atom_site_label
_atom_site_type_symbol
_atom_site_fract_x
_atom_site_fract_y
_atom_site_fract_z
_atom_site_occupancy
In1 In 0.0000 0.0000 0.0000 1
Cu1 Cu 0.0000 0.5000 0.0000 1
Se1 Se 0.2500 0.2500 0.5000 1
```

## Properties
raw total energy	-3.413	eV/atom
calculated density	6.42	Mg/m³
formation energy without anion corrections	38	meV per atom

---

[16]
# SrZn11Cu

Crystalline SrZn11Cu at its relaxed geometry (PBE-GGA, Alexandria).

Geometry as CIF:
```
data_SrZn11Cu
_cell_length_a 5.1422
_cell_length_b 12.8556
_cell_length_c 6.9184
_cell_angle_alpha 90.00
_cell_angle_beta 111.25
_cell_angle_gamma 90.00
_symmetry_space_group_name_H-M 'C 1 2/m 1'
_symmetry_Int_Tables_number 12
loop_
_symmetry_equiv_pos_as_xyz
'x,y,z'
'-x,-y,-z'
'-x,y,-z'
'x,-y,z'
'x+1/2,y+1/2,z'
'-x+1/2,-y+1/2,-z'
'-x+1/2,y+1/2,-z'
'x+1/2,-y+1/2,z'
loop_
_atom_site_label
_atom_site_type_symbol
_atom_site_fract_x
_atom_site_fract_y
_atom_site_fract_z
_atom_site_occupancy
Sr1 Sr 0.0000 0.0000 0.0000 1
Zn1 Zn 0.0000 0.0000 0.5000 1
Zn2 Zn 0.1103 0.3869 0.2316 1
Zn3 Zn 0.1850 0.1759 0.3590 1
Zn4 Zn 0.2500 0.2500 0.0000 1
Cu1 Cu 0.0000 0.5000 0.5000 1
```

## Properties
raw total energy	-1.647	eV/atom
calculated density	6.78	Mg/m³
ΔE_f	-1.6	eV per formula unit

---

[17]
# ThSc2B6

Crystalline ThSc2B6 at its relaxed geometry (PBE-GGA, Alexandria).

Geometry as CIF:
```
data_ThSc2B6
_cell_length_a 3.3684
_cell_length_b 7.4209
_cell_length_c 8.5412
_cell_angle_alpha 90.00
_cell_angle_beta 90.00
_cell_angle_gamma 90.00
_symmetry_space_group_name_H-M 'I m m m'
_symmetry_Int_Tables_number 71
_symmetry_space_group_name_Hall '-I 2 2'
loop_
_atom_site_label
_atom_site_type_symbol
_atom_site_fract_x
_atom_site_fract_y
_atom_site_fract_z
_atom_site_occupancy
Th1 Th 0.0000 0.0000 0.0000 1
Sc1 Sc 0.0000 0.5000 0.1649 1
B1 B 0.0000 0.1282 0.5000 1
B2 B 0.0000 0.2329 0.3066 1
```

## Properties
raw total energy	-7.083	eV/atom
calculated density	6.02	Mg/m³
ΔE_f	-3.6	eV per formula unit

---

[18]
# Zn2MoOs

Crystalline Zn2MoOs at its relaxed geometry (PBE-GGA, Alexandria).

Geometry as CIF:
```
data_Zn2MoOs
_cell_length_a 2.7755
_cell_length_b 2.7755
_cell_length_c 27.1381
_cell_angle_alpha 90.00
_cell_angle_beta 90.00
_cell_angle_gamma 120.00
_symmetry_space_group_name_H-M 'R 3 m'
_symmetry_Int_Tables_number 160
_symmetry_space_group_name_Hall 'R 3 -2"'
loop_
_atom_site_label
_atom_site_type_symbol
_atom_site_fract_x
_atom_site_fract_y
_atom_site_fract_z
_atom_site_occupancy
Zn1 Zn 0.0000 0.0000 0.0000 1
Zn2 Zn 0.0000 0.0000 0.2463 1
Mo1 Mo 0.0000 0.0000 0.4944 1
Os1 Os 0.0000 0.0000 0.7494 1
```

## Properties
raw total energy	-6.065	eV/atom
calculated density	11.47	Mg/m³
ΔE_f	0.3	eV per formula unit

---

[19]
# KTePS2

Crystalline KTePS2 at its relaxed geometry (PBE-GGA, Alexandria).

Geometry as CIF:
```
data_KTePS2
_cell_length_a 5.2483
_cell_length_b 5.2483
_cell_length_c 5.1581
_cell_angle_alpha 90.00
_cell_angle_beta 90.00
_cell_angle_gamma 90.00
_symmetry_space_group_name_H-M 'P 4/m m m'
_symmetry_Int_Tables_number 123
_symmetry_space_group_name_Hall '-P 4 2'
loop_
_atom_site_label
_atom_site_type_symbol
_atom_site_fract_x
_atom_site_fract_y
_atom_site_fract_z
_atom_site_occupancy
K1 K 0.0000 0.0000 0.0000 1
Te1 Te 0.5000 0.5000 0.5000 1
P1 P 0.5000 0.5000 0.0000 1
S1 S 0.0000 0.5000 0.5000 1
```

## Properties
raw total energy	-3.404	eV/atom
calculated density	3.06	Mg/m³
formation energy without anion corrections	176	meV per atom

---

[20]
# SrCdAgRh

Crystalline SrCdAgRh at its relaxed geometry (PBE-GGA, Alexandria).

Geometry as CIF:
```
data_SrCdAgRh
_cell_length_a 7.0398
_cell_length_b 7.0398
_cell_length_c 7.0398
_cell_angle_alpha 90.00
_cell_angle_beta 90.00
_cell_angle_gamma 90.00
_symmetry_space_group_name_H-M 'F -4 3 m'
_symmetry_Int_Tables_number 216
_symmetry_space_group_name_Hall 'F -4 2 3'
loop_
_atom_site_label
_atom_site_type_symbol
_atom_site_fract_x
_atom_site_fract_y
_atom_site_fract_z
_atom_site_occupancy
Sr1 Sr 0.0000 0.0000 0.0000 1
Cd1 Cd 0.0000 0.0000 0.5000 1
Ag1 Ag 0.2500 0.2500 0.7500 1
Rh1 Rh 0.2500 0.2500 0.2500 1
```

## Properties
raw total energy	-3.272	eV/atom
calculated density	7.82	Mg/m³
ΔE_f	-0.3	eV per formula unit